(1)
MnCuSb2 | PBE | optimized geometry

The structure in extended XYZ format:
```
8
Lattice="7.6575 0.0000 0.0000 0.0000 3.6856 0.0000 -1.5970 0.0000 5.8013" Properties=species:S:1:pos:R:3 pbc="T T T"
Mn 0.0000 0.0000 0.0000
Mn 3.8287 1.8428 0.0000
Cu -0.7985 1.8428 2.9006
Cu 3.0302 0.0000 2.9006
Sb 1.4674 1.8428 1.4323
Sb 0.7643 0.0000 4.3690
Sb 5.2961 0.0000 1.4323
Sb 4.5931 1.8428 4.3690
```

Computed properties:
Raw formation energy in eV/atom: 0.20
Space group: C2/m (12)
Size of the total moment in Bohr magnetons per cell: 6.774


(2)
MnCuSb3 | PBE | optimized geometry

The structure in extended XYZ format:
```
5
Lattice="4.9782 0.0000 0.0000 0.0000 4.9782 0.0000 0.0000 0.0000 4.9782" Properties=species:S:1:pos:R:3 pbc="T T T"
Mn 0.0000 0.0000 0.0000
Cu 2.4891 2.4891 2.4891
Sb 0.0000 0.0000 2.4891
Sb 0.0000 2.4891 0.0000
Sb 2.4891 0.0000 0.0000
```

Computed properties:
Raw formation energy in eV/atom: 0.60
Space group: Pm-3m (221)
Size of the total moment in Bohr magnetons per cell: 1.699
Energy above the lowest structure with this stoichiometry in kJ/mol of atoms: 0.0


(3)
MnCu4Sb | PBE | optimized geometry

The structure in extended XYZ format:
```
6
Lattice="0.0000 3.5220 3.5220 3.5220 0.0000 3.5220 3.5220 3.5220 0.0000" Properties=species:S:1:pos:R:3 pbc="T T T"
Mn 0.0000 0.0000 0.0000
Cu 2.6362 2.6362 2.6362
Cu 4.4077 4.4077 2.6362
Cu 4.4077 2.6362 4.4077
Cu 2.6362 4.4077 4.4077
Sb 5.2830 5.2830 5.2830
```

Computed properties:
Raw formation energy in eV/atom: 0.12
Space group: F-43m (216)
Size of the total moment in Bohr magnetons per cell: 4.233


(4)
MnCuSb2 | PBE | optimized geometry

The structure in extended XYZ format:
```
16
Lattice="6.5530 0.0000 0.0000 0.0000 6.5530 0.0000 0.0000 0.0000 6.5530" Properties=species:S:1:pos:R:3 pbc="T T T"
Mn 0.0000 0.0000 0.0000
Mn 0.0000 3.2765 3.2765
Mn 3.2765 0.0000 3.2765
Mn 3.2765 3.2765 0.0000
Cu 0.0000 0.0000 3.2765
Cu 0.0000 3.2765 0.0000
Cu 3.2765 0.0000 0.0000
Cu 3.2765 3.2765 3.2765
Sb 1.6382 1.6382 1.6382
Sb 1.6382 1.6382 4.9147
Sb 1.6382 4.9147 1.6382
Sb 1.6382 4.9147 4.9147
Sb 4.9147 1.6382 1.6382
Sb 4.9147 1.6382 4.9147
Sb 4.9147 4.9147 1.6382
Sb 4.9147 4.9147 4.9147
```

Computed properties:
Raw formation energy in eV/atom: 0.49
Space group: Fm-3m (225)
Size of the total moment in Bohr magnetons per cell: 0.001


(5)
MnCuSb2 | PBE | optimized geometry

The structure in extended XYZ format:
```
8
Lattice="4.0853 0.0000 0.0000 0.0000 3.7414 0.0000 0.0000 0.0000 9.9769" Properties=species:S:1:pos:R:3 pbc="T T T"
Mn 0.0000 0.0000 0.0000
Mn 0.0000 1.8707 4.9885
Cu 2.0426 0.0000 8.3682
Cu 2.0426 1.8707 3.3798
Sb 0.0000 0.0000 2.8310
Sb 0.0000 1.8707 7.8195
Sb 2.0426 0.0000 5.6270
Sb 2.0426 1.8707 0.6385
```

Computed properties:
Raw formation energy in eV/atom: 0.07
Space group: Amm2 (38)
Size of the total moment in Bohr magnetons per cell: 6.145


(6)
Mn4CuSb | PBE | optimized geometry

The structure in extended XYZ format:
```
6
Lattice="0.0000 3.4073 3.4073 3.4073 0.0000 3.4073 3.4073 3.4073 0.0000" Properties=species:S:1:pos:R:3 pbc="T T T"
Mn 2.5615 2.5615 2.5615
Mn 4.2532 4.2532 2.5615
Mn 4.2532 2.5615 4.2532
Mn 2.5615 4.2532 4.2532
Cu 5.1110 5.1110 5.1110
Sb 0.0000 0.0000 0.0000
```

Computed properties:
Raw formation energy in eV/atom: 0.38
Space group: F-43m (216)
Size of the total moment in Bohr magnetons per cell: 5.105


(7)
MnCuSb2 | PBE | optimized geometry

The structure in extended XYZ format:
```
8
Lattice="4.1662 0.0000 0.0000 0.0000 4.9794 0.0000 0.0000 0.0000 7.6538" Properties=species:S:1:pos:R:3 pbc="T T T"
Mn 0.0000 0.0000 0.0000
Mn 2.0831 2.4897 0.0000
Cu 0.0000 0.0000 3.8269
Cu 2.0831 2.4897 3.8269
Sb 0.0000 2.4897 1.8983
Sb 0.0000 2.4897 5.7555
Sb 2.0831 0.0000 1.8983
Sb 2.0831 0.0000 5.7555
```

Computed properties:
Raw formation energy in eV/atom: 0.30
Space group: Cmmm (65)
Size of the total moment in Bohr magnetons per cell: 6.860


(8)
MnCuSb2 | PBE | optimized geometry

The structure in extended XYZ format:
```
8
Lattice="4.4899 0.0000 0.0000 0.0000 4.4899 0.0000 0.0000 0.0000 7.7487" Properties=species:S:1:pos:R:3 pbc="T T T"
Mn 0.0000 0.0000 0.0000
Mn 2.2449 2.2449 3.8743
Cu 0.0000 0.0000 3.8743
Cu 2.2449 2.2449 0.0000
Sb 0.0000 2.2449 1.9372
Sb 0.0000 2.2449 5.8115
Sb 2.2449 0.0000 1.9372
Sb 2.2449 0.0000 5.8115
```

Computed properties:
Raw formation energy in eV/atom: 0.29
Space group: I4/mmm (139)
Size of the total moment in Bohr magnetons per cell: 6.513


(9)
MnCuSb2 | PBE | optimized geometry

The structure in extended XYZ format:
```
12
Lattice="3.5196 0.0000 0.0000 -1.7598 3.0481 0.0000 0.0000 0.0000 22.3130" Properties=species:S:1:pos:R:3 pbc="T T T"
Mn 0.0000 0.0000 0.0000
Mn 0.0000 2.0321 14.8753
Mn 1.7598 1.0160 7.4376
Cu 0.0000 0.0000 11.1565
Cu 0.0000 2.0321 3.7188
Cu 1.7598 1.0160 18.5941
Sb 0.0000 0.0000 5.6092
Sb 0.0000 0.0000 16.7038
Sb 0.0000 2.0321 9.2661
Sb 0.0000 2.0321 20.4845
Sb 1.7598 1.0160 1.8285
Sb 1.7598 1.0160 13.0468
```

Computed properties:
Raw formation energy in eV/atom: 0.19
Space group: R-3m (166)
Size of the total moment in Bohr magnetons per cell: 8.408


(10)
MnCuSb2 | PBE | optimized geometry

The structure in extended XYZ format:
```
8
Lattice="7.1886 0.0000 0.0000 0.0000 7.0420 0.0000 -0.0160 0.0000 3.0886" Properties=species:S:1:pos:R:3 pbc="T T T"
Mn 0.0000 0.0000 0.0000
Mn 3.5943 3.5210 0.0000
Cu 0.0000 3.5210 0.0000
Cu 3.5943 0.0000 0.0000
Sb 1.7891 1.7605 1.5443
Sb 1.7891 5.2815 1.5443
Sb 5.3835 1.7605 1.5443
Sb 5.3835 5.2815 1.5443
```

Computed properties:
Raw formation energy in eV/atom: 0.27
Space group: C2/m (12)
Size of the total moment in Bohr magnetons per cell: 7.117


(11)
MnCuSb2 | PBE | optimized geometry

The structure in extended XYZ format:
```
8
Lattice="3.9578 0.0000 0.0000 0.0000 3.9578 0.0000 0.0000 0.0000 10.1669" Properties=species:S:1:pos:R:3 pbc="T T T"
Mn 0.0000 0.0000 0.0000
Mn 1.9789 1.9789 5.0835
Cu 0.0000 1.9789 2.5417
Cu 1.9789 0.0000 7.6252
Sb 0.0000 0.0000 5.0835
Sb 0.0000 1.9789 7.6252
Sb 1.9789 0.0000 2.5417
Sb 1.9789 1.9789 0.0000
```

Computed properties:
Raw formation energy in eV/atom: 0.28
Space group: I-4m2 (119)
Size of the total moment in Bohr magnetons per cell: 7.298


(12)
MnCuSb2 | PBE | optimized geometry

The structure in extended XYZ format:
```
16
Lattice="6.9548 0.0000 0.0000 0.0000 6.9548 0.0000 0.0000 0.0000 6.9548" Properties=species:S:1:pos:R:3 pbc="T T T"
Mn 0.0000 0.0000 0.0000
Mn 0.0000 3.4774 3.4774
Mn 3.4774 0.0000 3.4774
Mn 3.4774 3.4774 0.0000
Cu 1.7387 1.7387 5.2161
Cu 1.7387 5.2161 1.7387
Cu 5.2161 1.7387 1.7387
Cu 5.2161 5.2161 5.2161
Sb 0.0000 0.0000 3.4774
Sb 0.0000 3.4774 0.0000
Sb 1.7387 1.7387 1.7387
Sb 1.7387 5.2161 5.2161
Sb 3.4774 0.0000 0.0000
Sb 3.4774 3.4774 3.4774
Sb 5.2161 1.7387 5.2161
Sb 5.2161 5.2161 1.7387
```

Computed properties:
Raw formation energy in eV/atom: 0.51
Space group: F-43m (216)
Size of the total moment in Bohr magnetons per cell: 16.059


(13)
MnCuSb4 | PBE | optimized geometry

The structure in extended XYZ format:
```
6
Lattice="0.0000 4.3347 4.3347 4.3347 0.0000 4.3347 4.3347 4.3347 0.0000" Properties=species:S:1:pos:R:3 pbc="T T T"
Mn 0.0000 0.0000 0.0000
Cu 2.1674 2.1674 2.1674
Sb 5.4163 3.2532 3.2532
Sb 3.2532 5.4163 3.2532
Sb 3.2532 3.2532 5.4163
Sb 5.4163 5.4163 5.4163
```

Computed properties:
Raw formation energy in eV/atom: 0.74
Space group: F-43m (216)
Size of the total moment in Bohr magnetons per cell: 5.027


(14)
MnCuSb2 | PBE | optimized geometry

The structure in extended XYZ format:
```
4
Lattice="3.0684 0.0000 0.0000 0.0000 3.7926 0.0000 0.0000 0.0000 7.2674" Properties=species:S:1:pos:R:3 pbc="T T T"
Mn 0.0000 0.0000 0.0000
Cu 1.5342 1.8963 5.9719
Sb 0.0000 0.0000 4.5413
Sb 1.5342 1.8963 1.4268
```

Computed properties:
Raw formation energy in eV/atom: 0.13
Space group: Pmm2 (25)
Size of the total moment in Bohr magnetons per cell: 3.391


(15)
MnCuTcSb2 | PBE | optimized geometry

The structure in extended XYZ format:
```
5
Lattice="4.8696 0.0000 0.0000 0.0000 4.8696 0.0000 0.0000 0.0000 4.4287" Properties=species:S:1:pos:R:3 pbc="T T T"
Mn 0.0000 0.0000 0.0000
Cu 2.4348 2.4348 2.2143
Tc 0.0000 0.0000 2.2143
Sb 0.0000 2.4348 0.0000
Sb 2.4348 0.0000 0.0000
```

Computed properties:
Raw formation energy in eV/atom: 0.99
Space group: P4/mmm (123)
Size of the total moment in Bohr magnetons per cell: 0.778


(16)
MnCuSb2Te | PBE | optimized geometry

The structure in extended XYZ format:
```
5
Lattice="4.9893 0.0000 0.0000 0.0000 4.9893 0.0000 0.0000 0.0000 5.2019" Properties=species:S:1:pos:R:3 pbc="T T T"
Mn 0.0000 0.0000 0.0000
Cu 2.4947 2.4947 2.6010
Sb 0.0000 2.4947 0.0000
Sb 2.4947 0.0000 0.0000
Te 0.0000 0.0000 2.6010
```

Computed properties:
Raw formation energy in eV/atom: 0.62
Space group: P4/mmm (123)
Size of the total moment in Bohr magnetons per cell: 2.355
Energy above the lowest structure with this stoichiometry in kJ/mol of atoms: 0.0


(17)
MnCuSbTe2 | PBE | optimized geometry

The structure in extended XYZ format:
```
5
Lattice="5.0338 0.0000 0.0000 0.0000 5.0338 0.0000 0.0000 0.0000 4.9187" Properties=species:S:1:pos:R:3 pbc="T T T"
Mn 0.0000 0.0000 0.0000
Cu 2.5169 2.5169 2.4594
Sb 0.0000 0.0000 2.4594
Te 0.0000 2.5169 0.0000
Te 2.5169 0.0000 0.0000
```

Computed properties:
Raw formation energy in eV/atom: 0.71
Space group: P4/mmm (123)
Size of the total moment in Bohr magnetons per cell: 0.000
Energy above the lowest structure with this stoichiometry in kJ/mol of atoms: 0.0


(18)
MnCuSbTe2 | PBE | optimized geometry

The structure in extended XYZ format:
```
5
Lattice="5.1575 0.0000 0.0000 0.0000 5.1575 0.0000 0.0000 0.0000 4.9304" Properties=species:S:1:pos:R:3 pbc="T T T"
Mn 0.0000 0.0000 0.0000
Cu 2.5787 2.5787 2.4652
Sb 2.5787 2.5787 0.0000
Te 0.0000 2.5787 2.4652
Te 2.5787 0.0000 2.4652
```

Computed properties:
Raw formation energy in eV/atom: 1.14
Space group: P4/mmm (123)
Size of the total moment in Bohr magnetons per cell: 0.161
Energy above the lowest structure with this stoichiometry in kJ/mol of atoms: 41.3


(19)
MnCuSb2Te | PBE | optimized geometry

The structure in extended XYZ format:
```
5
Lattice="4.9952 0.0000 0.0000 0.0000 4.9952 0.0000 0.0000 0.0000 5.1526" Properties=species:S:1:pos:R:3 pbc="T T T"
Mn 0.0000 0.0000 0.0000
Cu 2.4976 2.4976 2.5763
Sb 0.0000 2.4976 2.5763
Sb 2.4976 0.0000 2.5763
Te 2.4976 2.4976 0.0000
```

Computed properties:
Raw formation energy in eV/atom: 1.15
Space group: P4/mmm (123)
Size of the total moment in Bohr magnetons per cell: 0.154
Energy above the lowest structure with this stoichiometry in kJ/mol of atoms: 50.9


(20)
TiMnCu2Sb | PBE | optimized geometry

The structure in extended XYZ format:
```
5
Lattice="4.4840 0.0000 0.0000 0.0000 4.4840 0.0000 0.0000 0.0000 4.7987" Properties=species:S:1:pos:R:3 pbc="T T T"
Ti 0.0000 0.0000 0.0000
Mn 2.2420 2.2420 2.3993
Cu 0.0000 2.2420 2.3993
Cu 2.2420 0.0000 2.3993
Sb 2.2420 2.2420 0.0000
```

Computed properties:
Raw formation energy in eV/atom: 0.73
Space group: P4/mmm (123)
Size of the total moment in Bohr magnetons per cell: 2.171